The following is a PBE calculation of a relaxed SrTbCdIn crystal, from Alexandria.

abc: 3.862 3.862 8.001
angles: 90.00 90.00 90.00
Sites, in units of the cell vectors:
Sr 0.000 0.000 0.000
Tb 0.000 0.000 0.504
Cd 0.500 0.500 0.723
In 0.500 0.500 0.278

Results
**E above lowest polymorph**: 0.000 eV/atom
**E_tot**: -2.88 eV per atom
**M_tot**: 0.0047 μB/atom
**Calculated formation energy**: -0.39 eV per atom

The following is a PBE calculation of a relaxed SrCd2InTc crystal, from Alexandria.

abc: 5.385 5.385 5.529
angles: 90.00 90.00 90.00
Sites, in units of the cell vectors:
Sr 0.000 0.000 0.000
Cd 0.000 0.500 0.500
Cd 0.500 0.000 0.500
In 0.500 0.500 0.500
Tc 0.500 0.500 0.000

Results
**E above lowest polymorph**: 0.541 eV/atom
**E_tot**: -2.65 eV per atom
**M_tot**: 0.5580 μB/atom
**Calculated formation energy**: 0.68 eV per atom

The following is a PBE calculation of a relaxed SrCd2InTc crystal, from Alexandria.

abc: 5.247 5.247 5.147
angles: 90.00 90.00 90.00
Sites, in units of the cell vectors:
Sr 0.000 0.000 0.000
Cd 0.000 0.500 0.500
Cd 0.500 0.000 0.500
In 0.500 0.500 0.000
Tc 0.500 0.500 0.500

Results
**E above lowest polymorph**: 0.000 eV/atom
**E_tot**: -3.19 eV per atom
**M_tot**: 0.0000 μB/atom
**Calculated formation energy**: 0.14 eV per atom

no.,DOS at the Fermi energy (states/eV/f.u.)
1,2.9
2,3.7
3,1.9